Record 1
The following is a PBE-GGA calculation of a relaxed Y2ZnGa2 crystal, from Alexandria via LeMat-Bulk.

a b c (Å): 6.921 6.921 4.556
angles (deg): 90.00 90.00 90.00
Atoms (fractional coordinates):
Ga: 0.366 0.866 0.000
Zn: 0.000 0.000 0.000
Ga: 0.134 0.366 0.000
Y: 0.829 0.329 0.500
Zn: 0.500 0.500 0.000
Y: 0.671 0.829 0.500
Y: 0.171 0.671 0.500
Ga: 0.866 0.634 0.000
Y: 0.329 0.171 0.500
Ga: 0.634 0.134 0.000

The energy above the most stable polymorph in this dataset is 0.0434 eV/atom. The calculation puts the formation enthalpy at 0 K at -0.56 eV/atom.

Record 2
The following is a PBE-GGA calculation of a relaxed Y6ZnGa2 crystal, from Alexandria via LeMat-Bulk.

a b c (Å): 6.394 8.151 9.518
angles (deg): 90.00 84.41 90.00
Atoms (fractional coordinates):
Ga: 0.069 0.629 0.247
Y: 0.386 0.812 0.436
Y: 0.144 0.338 0.440
Y: 0.886 0.688 0.936
Y: 0.114 0.312 0.064
Y: 0.614 0.188 0.564
Y: 0.644 0.458 0.275
Y: 0.856 0.958 0.225
Y: 0.144 0.042 0.775
Y: 0.644 0.162 0.940
Y: 0.356 0.838 0.060
Y: 0.856 0.662 0.560
Zn: 0.000 0.000 0.500
Zn: 0.500 0.500 0.000
Ga: 0.431 0.129 0.253
Ga: 0.569 0.871 0.747
Ga: 0.931 0.371 0.753
Y: 0.356 0.542 0.725

The energy above the most stable polymorph in this dataset is 0.0969 eV/atom. The calculation puts the formation enthalpy at 0 K at -0.29 eV/atom.

Record 3
The following is a PBE-GGA calculation of a relaxed YZn3Ga crystal, from Alexandria via LeMat-Bulk.

a b c (Å): 4.738 4.738 4.738
angles (deg): 90.00 90.00 90.00
Atoms (fractional coordinates):
Y: 0.500 0.500 0.500
Zn: 0.000 0.000 0.500
Zn: 0.000 0.500 0.000
Ga: 0.000 0.000 0.000
Zn: 0.500 0.000 0.000

The energy above the most stable polymorph in this dataset is 0.5080 eV/atom. The calculation puts the formation enthalpy at 0 K at 0.12 eV/atom.

Record 4
The following is a PBE-GGA calculation of a relaxed YZnGa crystal, from Alexandria via LeMat-Bulk.

a b c (Å): 7.864 4.449 4.447
angles (deg): 119.98 90.01 73.57
Atoms (fractional coordinates):
Y: 0.705 0.873 0.737
Ga: 0.950 0.043 0.322
Zn: 0.939 0.384 0.992
Ga: 0.458 0.705 0.152
Zn: 0.565 0.300 0.450
Y: 0.195 0.546 0.573

The calculation puts the formation enthalpy at 0 K at -0.46 eV/atom.

Record 5
The following is a PBE-GGA calculation of a relaxed Y2Zn12Ga5 crystal, from Alexandria via LeMat-Bulk.

a b c (Å): 6.892 6.892 6.892
angles (deg): 85.35 85.35 85.35
Atoms (fractional coordinates):
Zn: 0.318 0.682 0.000
Y: 0.332 0.332 0.332
Zn: 0.650 0.650 0.177
Zn: 0.823 0.350 0.350
Zn: 0.000 0.318 0.682
Zn: 0.682 0.000 0.318
Ga: 0.500 0.000 0.000
Zn: 0.650 0.177 0.650
Zn: 0.318 0.000 0.682
Zn: 0.177 0.650 0.650
Ga: 0.000 0.500 0.000
Zn: 0.000 0.682 0.318
Ga: 0.000 0.000 0.500
Y: 0.668 0.668 0.668
Zn: 0.350 0.350 0.823
Ga: 0.901 0.901 0.901
Zn: 0.682 0.318 0.000
Ga: 0.099 0.099 0.099
Zn: 0.350 0.823 0.350

The calculation puts the formation enthalpy at 0 K at -0.18 eV/atom.

Record 6
The following is a PBE-GGA calculation of a relaxed Y3ZnGa2 crystal, from Alexandria via LeMat-Bulk.

a b c (Å): 3.569 3.569 10.792
angles (deg): 90.00 90.00 90.00
Atoms (fractional coordinates):
Y: 0.000 0.000 0.336
Y: 0.000 0.000 0.664
Ga: 0.500 0.500 0.172
Zn: 0.500 0.500 0.500
Ga: 0.500 0.500 0.828
Y: 0.000 0.000 0.000

The energy above the most stable polymorph in this dataset is 0.0103 eV/atom. The calculation puts the formation enthalpy at 0 K at -0.53 eV/atom.

Record 7
The following is a PBE-GGA calculation of a relaxed YZn5Ga2 crystal, from Alexandria via LeMat-Bulk.

a b c (Å): 3.979 6.385 6.385
angles (deg): 68.89 71.84 71.84
Atoms (fractional coordinates):
Zn: 0.000 0.500 0.500
Zn: 0.364 0.820 0.451
Zn: 0.364 0.451 0.820
Zn: 0.636 0.180 0.549
Zn: 0.636 0.549 0.180
Ga: 0.741 0.759 0.759
Ga: 0.259 0.241 0.241
Y: 0.000 0.000 0.000

The calculation puts the formation enthalpy at 0 K at -0.23 eV/atom.

Record 8
The following is a PBE-GGA calculation of a relaxed Y2ZrZnGa crystal, from Alexandria via LeMat-Bulk.

a b c (Å): 5.278 5.048 5.278
angles (deg): 90.00 90.00 90.00
Atoms (fractional coordinates):
Ga: 0.500 0.500 0.500
Y: 0.500 0.000 0.000
Zr: 0.000 0.500 0.000
Zn: 0.000 0.000 0.000
Y: 0.000 0.000 0.500

The calculation puts the formation enthalpy at 0 K at 0.27 eV/atom.